Below is crystalline LaY2ScFe at its relaxed geometry, with properties calculated at the GGA-PBE level.

Results
Energy of formation from the pure elements, eV/atom: 0.07
Density, kg/m3: 4870
Fermi-level density of states, states/eV/cell: 6.55

a = 5.3098 Å, b = 5.3098 Å, c = 5.0497 Å
α = 90.00°, β = 90.00°, γ = 90.00°
With the nearest neighbours (Å) after each atom.
Sites, in units of the cell vectors:
La (0.0000, 0.0000, 0.0000)  8 Y 3.66, 4 Sc 3.75
Y (0.0000, 0.5000, 0.5000)  2 Fe 2.65
Y (0.5000, 0.0000, 0.5000)  2 Fe 2.65
Sc (0.5000, 0.5000, 0.0000)  2 Fe 2.52
Fe (0.5000, 0.5000, 0.5000)  2 Sc 2.52, 4 Y 2.65